DFT (PBE) results for a relaxed structure of RbGeCl3.

```
20
Lattice="-1.6503 -6.9411 -2.3378 7.0979 -0.3522 -3.9647 4.7620 -4.1270 8.8918" Properties=species:S:1:pos:R:3 pbc="T T T"
Ge 4.8822 -5.5070 1.2601
Cl 9.3928 -6.5520 4.5936
Cl 3.6193 -5.8151 -4.1613
Cl 4.2576 -4.1319 -0.6048
Ge 3.2137 -10.8812 6.3382
Cl 1.2342 -1.7453 2.1220
Cl 6.1452 -5.1084 7.0028
Rb 3.3576 -6.4204 5.2481
Ge 9.2000 -2.4495 0.3668
Cl 6.1327 -7.4452 3.5316
Rb 2.5673 -7.9473 -1.7161
Cl 9.1561 -9.8316 0.8048
Rb 7.6480 -3.4780 4.3161
Cl 2.7040 -6.5038 1.5194
Rb 6.8577 -5.0048 -2.6481
Cl 0.1783 -5.1851 -2.0261
Ge 7.5316 -7.8235 5.4450
Cl 7.9897 -4.4658 0.8032
Cl 4.5486 -3.8359 2.9384
Cl 5.9516 -7.9474 -0.8898
```

Computed properties:
Magnetization in μB/atom: 0.00
ΔE_f (raw) in meV per atom: -1322
Mass density in g/cm3: 2.6
Crystal system: orthorhombic
Total DFT energy (no corrections) in eV/atom: -3.55
N(E_F) in states/eV per cell: 0.00